Entry 1:
Material: YAsPt2
Method: DFT, GGA-PBEsol
State: optimized geometry

## Properties
density of states at the Fermi level = 0.54 states/eV/atom
crystal system = monoclinic
spin magnetization = 0.00 μB per cell
space group = Pm
density = 11.9 g cm⁻³
formation enthalpy at 0 K = -0.794 eV per atom

POSCAR file:
```
YAsPt2
1.0
3.496 0.000 0.000
0.000 4.466 0.000
-0.123 0.000 4.966
Y As Pt
1 1 2
Cartesian
0.000 0.000 0.000
1.884 2.233 1.470
1.563 2.233 4.019
1.700 0.000 2.458
```

Entry 2:
Material: Y2AsPt
Method: DFT, GGA-PBEsol
State: optimized geometry

## Properties
relative energy among the computed polymorphs = 0.0 meV/atom
density of states at the Fermi level = 0.72 states/eV/atom
crystal system = trigonal
spin magnetization = 0.00 μB per cell
space group = R-3m
density = 7.9 g cm⁻³
formation enthalpy at 0 K = -1.200 eV per atom

POSCAR file:
```
Y2AsPt
1.0
2.015 1.163 6.687
-2.015 1.163 6.687
0.000 -2.327 6.687
Y As Pt
2 1 1
Cartesian
0.000 0.000 4.997
0.000 0.000 15.063
0.000 0.000 0.000
0.000 0.000 10.030
```

Entry 3:
Material: YAsPt2
Method: DFT, GGA-PBEsol
State: optimized geometry

## Properties
density of states at the Fermi level = 0.51 states/eV/atom
crystal system = cubic
spin magnetization = 0.00 μB per cell
space group = F-43m
density = 12.9 g cm⁻³
formation enthalpy at 0 K = -0.610 eV per atom

POSCAR file:
```
YAsPt2
1.0
0.000 3.290 3.290
3.290 0.000 3.290
3.290 3.290 0.000
Y As Pt
1 1 2
Cartesian
0.000 0.000 0.000
4.936 4.936 4.936
1.645 1.645 1.645
3.290 3.290 3.290
```

Entry 4:
Material: YAsPt2
Method: DFT, GGA-PBEsol
State: optimized geometry

## Properties
density of states at the Fermi level = 0.22 states/eV/atom
crystal system = tetragonal
spin magnetization = 0.00 μB per cell
space group = I-42d
density = 10.5 g cm⁻³
formation enthalpy at 0 K = -0.601 eV per atom

POSCAR file:
```
YAsPt2
1.0
-2.350 2.350 7.940
2.350 -2.350 7.940
2.350 2.350 -7.940
Y As Pt
2 2 4
Cartesian
0.000 0.000 0.000
0.000 2.350 3.970
2.350 0.000 3.970
0.000 0.000 7.940
1.175 -0.708 5.955
1.642 1.175 1.985
1.175 3.058 -1.985
0.708 1.175 9.926
```

Entry 5:
Material: YAsPt2
Method: DFT, GGA-PBEsol
State: optimized geometry

## Properties
density of states at the Fermi level = 0.54 states/eV/atom
crystal system = tetragonal
spin magnetization = 0.00 μB per cell
space group = P4/mmm
density = 12.6 g cm⁻³
formation enthalpy at 0 K = -0.715 eV per atom

POSCAR file:
```
YAsPt2
1.0
3.589 0.000 0.000
0.000 3.589 0.000
0.000 0.000 5.647
Y As Pt
1 1 2
Cartesian
0.000 0.000 0.000
0.000 0.000 2.823
1.794 1.794 1.465
1.794 1.794 4.182
```

Entry 6:
Material: Y2AsPt
Method: DFT, GGA-PBEsol
State: optimized geometry

## Properties
relative energy among the computed polymorphs = 143.1 meV/atom
density of states at the Fermi level = 0.84 states/eV/atom
crystal system = orthorhombic
spin magnetization = 0.00 μB per cell
space group = Immm
density = 8.8 g cm⁻³
formation enthalpy at 0 K = -1.057 eV per atom

POSCAR file:
```
Y2AsPt
1.0
-2.461 2.471 3.486
2.461 -2.471 3.486
2.461 2.471 -3.486
Y As Pt
2 1 1
Cartesian
0.000 0.000 1.742
0.000 0.000 5.230
0.000 2.471 0.000
2.461 0.000 0.000
```

- Number 4 is which compound?
  YAsPt2

Repeat the third record exactly.
Material: YAsPt2
Method: DFT, GGA-PBEsol
State: optimized geometry

## Properties
density of states at the Fermi level = 0.51 states/eV/atom
crystal system = cubic
spin magnetization = 0.00 μB per cell
space group = F-43m
density = 12.9 g cm⁻³
formation enthalpy at 0 K = -0.610 eV per atom

POSCAR file:
```
YAsPt2
1.0
0.000 3.290 3.290
3.290 0.000 3.290
3.290 3.290 0.000
Y As Pt
1 1 2
Cartesian
0.000 0.000 0.000
4.936 4.936 4.936
1.645 1.645 1.645
3.290 3.290 3.290
```

What did the first record say?
Material: YAsPt2
Method: DFT, GGA-PBEsol
State: optimized geometry

## Properties
density of states at the Fermi level = 0.54 states/eV/atom
crystal system = monoclinic
spin magnetization = 0.00 μB per cell
space group = Pm
density = 11.9 g cm⁻³
formation enthalpy at 0 K = -0.794 eV per atom

POSCAR file:
```
YAsPt2
1.0
3.496 0.000 0.000
0.000 4.466 0.000
-0.123 0.000 4.966
Y As Pt
1 1 2
Cartesian
0.000 0.000 0.000
1.884 2.233 1.470
1.563 2.233 4.019
1.700 0.000 2.458
```

- spin magnetization of number 4 (YAsPt2)?
  0.00 μB per cell